(1)
VASP calculation (PBE-GGA) on a geometry-optimized GaPbICl4 structure.

The total energy comes out at -3.247 eV/atom. The magnetic moment comes out at 0.00 μB per formula unit. The value obtained for the density of states at the Fermi level is 0.00 states/eV per atom. For the uncorrected formation energy, the calculation gives -1.009 eV/atom.

a = 13.202 Å, b = 9.366 Å, c = 8.797 Å
α = 90.00°, β = 105.04°, γ = 90.00°
Space group C2/m (No. 12)
Inequivalent atoms, fractional coordinates:
1 Ga 0.140 0.000 0.270 [4 per cell]
2 Pb 0.172 0.500 0.114 [4 per cell]
3 I 0.029 0.500 0.777 [4 per cell]
4 Cl 0.022 0.000 0.723 [4 per cell]
5 Cl 0.178 0.181 0.124 [8 per cell]
6 Cl 0.244 0.500 0.502 [4 per cell]


(2)
VASP calculation (PBE-GGA) on a geometry-optimized Pm8Ga3I4Cl structure.

The total energy comes out at -4.318 eV/atom. The magnetic moment comes out at 0.00 μB per formula unit. The value obtained for the density of states at the Fermi level is 0.55 states/eV per atom. For the uncorrected formation energy, the calculation gives -0.872 eV/atom.

a = 8.6140 Å, b = 8.6140 Å, c = 22.8205 Å
α = 90.00°, β = 90.00°, γ = 120.00°
Space group R-3m (No. 166, hexagonal axes)
Inequivalent atoms, fractional coordinates:
1 Pm 0.0000 0.0000 0.2347 [6 per cell]
2 Pm 0.0073 0.5036 0.7663 [18 per cell]
3 Ga 0.0000 0.5000 0.5000 [9 per cell]
4 I 0.0000 0.0000 0.0000 [3 per cell]
5 I 0.0000 0.5000 0.0000 [9 per cell]
6 Cl 0.0000 0.0000 0.5000 [3 per cell]


(3)
VASP calculation (PBE-GGA) on a geometry-optimized Pm3GaICl structure.

The total energy comes out at -4.464 eV/atom. The magnetic moment comes out at 0.00 μB per formula unit. The value obtained for the density of states at the Fermi level is 0.87 states/eV per atom. For the uncorrected formation energy, the calculation gives -1.018 eV/atom.

a = 9.432 Å, b = 4.045 Å, c = 9.589 Å
α = 90.00°, β = 101.56°, γ = 90.00°
Space group P2_1/m (No. 11)
Inequivalent atoms, fractional coordinates:
1 Pm 0.136 0.250 0.094 [2 per cell]
2 Pm 0.147 0.250 0.469 [2 per cell]
3 Pm 0.289 0.750 0.815 [2 per cell]
4 Ga 0.044 0.250 0.755 [2 per cell]
5 I 0.414 0.750 0.155 [2 per cell]
6 Cl 0.357 0.750 0.545 [2 per cell]


(4)
VASP calculation (PBE-GGA) on a geometry-optimized Pr6Ga2I3Cl structure.

The total energy comes out at -4.376 eV/atom. The magnetic moment comes out at 0.00 μB per formula unit. The value obtained for the density of states at the Fermi level is 0.60 states/eV per atom. For the uncorrected formation energy, the calculation gives -0.940 eV/atom.

a = 7.459 Å, b = 12.957 Å, c = 8.229 Å
α = 90.00°, β = 107.68°, γ = 90.00°
Space group C2/m (No. 12)
Inequivalent atoms, fractional coordinates:
1 Pr 0.230 0.000 0.203 [4 per cell]
2 Pr 0.236 0.332 0.203 [8 per cell]
3 Ga 0.000 0.167 0.000 [4 per cell]
4 I 0.000 0.000 0.500 [2 per cell]
5 I 0.000 0.331 0.500 [4 per cell]
6 Cl 0.000 0.500 0.000 [2 per cell]


(5)
VASP calculation (PBE-GGA) on a geometry-optimized GaPtICl2 structure.

The total energy comes out at -2.838 eV/atom. The magnetic moment comes out at 0.00 μB per formula unit. The value obtained for the density of states at the Fermi level is 0.34 states/eV per atom. For the uncorrected formation energy, the calculation gives 0.024 eV/atom.

a = 4.582 Å, b = 4.582 Å, c = 5.630 Å
α = 90.00°, β = 90.00°, γ = 90.00°
Space group P4/mmm (No. 123)
Inequivalent atoms, fractional coordinates:
1 Ga 0.000 0.000 0.000 [1 per cell]
2 Pt 0.000 0.000 0.500 [1 per cell]
3 I 0.500 0.500 0.500 [1 per cell]
4 Cl 0.000 0.500 0.000 [2 per cell]


(6)
VASP calculation (PBE-GGA) on a geometry-optimized RbGaI2Cl structure.

The total energy comes out at -2.754 eV/atom. The magnetic moment comes out at 0.00 μB per formula unit. The value obtained for the density of states at the Fermi level is 0.31 states/eV per atom. For the uncorrected formation energy, the calculation gives -0.966 eV/atom.

a = 5.880 Å, b = 5.880 Å, c = 5.226 Å
α = 90.00°, β = 90.00°, γ = 90.00°
Space group P4/mmm (No. 123)
Inequivalent atoms, fractional coordinates:
1 Rb 0.000 0.000 0.000 [1 per cell]
2 Ga 0.500 0.500 0.500 [1 per cell]
3 I 0.000 0.500 0.500 [2 per cell]
4 Cl 0.500 0.500 0.000 [1 per cell]


(7)
VASP calculation (PBE-GGA) on a geometry-optimized RbGaICl structure.

The total energy comes out at -2.916 eV/atom. The magnetic moment comes out at 0.00 μB per formula unit. The value obtained for the density of states at the Fermi level is 0.00 states/eV per atom. For the relative energy among the computed polymorphs, the calculation gives 0.0 meV per atom. For the uncorrected formation energy, the calculation gives -1.068 eV/atom.

a = 4.6434 Å, b = 4.6434 Å, c = 24.6137 Å
α = 90.00°, β = 90.00°, γ = 120.00°
Space group R3m (No. 160, hexagonal axes)
Inequivalent atoms, fractional coordinates:
1 Rb 0.0000 0.0000 0.0000 [3 per cell]
2 Ga 0.0000 0.0000 0.1513 [3 per cell]
3 I 0.0000 0.0000 0.5610 [3 per cell]
4 Cl 0.0000 0.0000 0.7432 [3 per cell]


(8)
VASP calculation (PBE-GGA) on a geometry-optimized RbGaICl structure.

The total energy comes out at -2.835 eV/atom. The magnetic moment comes out at 0.00 μB per formula unit. The value obtained for the density of states at the Fermi level is 0.00 states/eV per atom. For the relative energy among the computed polymorphs, the calculation gives 81.4 meV per atom. For the uncorrected formation energy, the calculation gives -0.987 eV/atom.

a = 8.174 Å, b = 8.174 Å, c = 8.174 Å
α = 90.00°, β = 90.00°, γ = 90.00°
Space group F-43m (No. 216)
Inequivalent atoms, fractional coordinates:
1 Rb 0.000 0.000 0.000 [4 per cell]
2 Ga 0.000 0.000 0.500 [4 per cell]
3 I 0.250 0.250 0.750 [4 per cell]
4 Cl 0.250 0.250 0.250 [4 per cell]


(9)
VASP calculation (PBE-GGA) on a geometry-optimized GaS2I2Cl2 structure.

The total energy comes out at -2.813 eV/atom. The magnetic moment comes out at 1.02 μB per formula unit. The value obtained for the density of states at the Fermi level is 0.14 states/eV per atom. For the uncorrected formation energy, the calculation gives -0.231 eV/atom.

a = 15.308 Å, b = 4.296 Å, c = 9.616 Å
α = 90.00°, β = 128.56°, γ = 90.00°
Space group C2/m (No. 12)
Inequivalent atoms, fractional coordinates:
1 Ga 0.000 0.000 0.000 [2 per cell]
2 S 0.049 0.000 0.472 [4 per cell]
3 I 0.100 0.500 0.280 [4 per cell]
4 Cl 0.155 0.000 0.036 [4 per cell]


(10)
VASP calculation (PBE-GGA) on a geometry-optimized GaSb2ICl structure.

The total energy comes out at -2.567 eV/atom. The magnetic moment comes out at 0.75 μB per formula unit. The value obtained for the density of states at the Fermi level is 0.86 states/eV per atom. For the relative energy among the computed polymorphs, the calculation gives 0.0 meV per atom. For the uncorrected formation energy, the calculation gives 0.367 eV/atom.

a = 5.414 Å, b = 5.414 Å, c = 5.531 Å
α = 90.00°, β = 90.00°, γ = 90.00°
Space group P4/mmm (No. 123)
Inequivalent atoms, fractional coordinates:
1 Ga 0.000 0.000 0.000 [1 per cell]
2 Sb 0.000 0.500 0.000 [2 per cell]
3 I 0.000 0.000 0.500 [1 per cell]
4 Cl 0.500 0.500 0.500 [1 per cell]


(11)
VASP calculation (PBE-GGA) on a geometry-optimized GaSbI2Cl structure.

The total energy comes out at -2.213 eV/atom. The magnetic moment comes out at 0.18 μB per formula unit. The value obtained for the density of states at the Fermi level is 0.72 states/eV per atom. For the relative energy among the computed polymorphs, the calculation gives 0.0 meV per atom. For the uncorrected formation energy, the calculation gives 0.206 eV/atom.

a = 5.510 Å, b = 5.510 Å, c = 5.574 Å
α = 90.00°, β = 90.00°, γ = 90.00°
Space group P4/mmm (No. 123)
Inequivalent atoms, fractional coordinates:
1 Ga 0.000 0.000 0.000 [1 per cell]
2 Sb 0.000 0.000 0.500 [1 per cell]
3 I 0.000 0.500 0.000 [2 per cell]
4 Cl 0.500 0.500 0.500 [1 per cell]


(12)
VASP calculation (PBE-GGA) on a geometry-optimized GaSb2ICl structure.

The total energy comes out at -2.419 eV/atom. The magnetic moment comes out at 0.00 μB per formula unit. The value obtained for the density of states at the Fermi level is 0.86 states/eV per atom. For the relative energy among the computed polymorphs, the calculation gives 147.3 meV per atom. For the uncorrected formation energy, the calculation gives 0.514 eV/atom.

a = 5.166 Å, b = 5.166 Å, c = 7.331 Å
α = 90.00°, β = 90.00°, γ = 90.00°
Space group P4/mmm (No. 123)
Inequivalent atoms, fractional coordinates:
1 Ga 0.000 0.000 0.000 [1 per cell]
2 Sb 0.000 0.500 0.500 [2 per cell]
3 I 0.500 0.500 0.000 [1 per cell]
4 Cl 0.500 0.500 0.500 [1 per cell]


(13)
VASP calculation (PBE-GGA) on a geometry-optimized GaSbI2Cl structure.

The total energy comes out at -2.054 eV/atom. The magnetic moment comes out at 0.00 μB per formula unit. The value obtained for the density of states at the Fermi level is 0.85 states/eV per atom. For the relative energy among the computed polymorphs, the calculation gives 159.8 meV per atom. For the uncorrected formation energy, the calculation gives 0.366 eV/atom.

a = 6.784 Å, b = 6.784 Å, c = 4.911 Å
α = 90.00°, β = 90.00°, γ = 90.00°
Space group P4/mmm (No. 123)
Inequivalent atoms, fractional coordinates:
1 Ga 0.000 0.000 0.000 [1 per cell]
2 Sb 0.500 0.500 0.000 [1 per cell]
3 I 0.000 0.500 0.500 [2 per cell]
4 Cl 0.500 0.500 0.500 [1 per cell]